{
  "formula": "Nd2UN3",
  "functional": "PBE",
  "state": "relaxed",
  "cell": [[6.076, 0.028, -1.125], [-2.325, 5.614, -1.125], [-0.025, -0.037, 11.194]],
  "species": ["Nd", "Nd", "Nd", "Nd", "Nd", "Nd", "Nd", "Nd", "U", "U", "U", "U", "N", "N", "N", "N", "N", "N", "N", "N", "N", "N", "N", "N"],
  "fractional_positions": [[0.998, 0.498, 0.996], [0.418, 0.418, 0.836], [0.832, 0.332, 0.664], [0.252, 0.252, 0.504], [0.748, 0.748, 0.496], [0.668, 0.168, 0.336], [0.582, 0.582, 0.164], [0.502, 0.002, 0.004], [0.916, 0.916, 0.832], [0.334, 0.834, 0.668], [0.166, 0.666, 0.332], [0.084, 0.084, 0.168], [0.161, 0.698, 0.819], [0.659, 0.121, 0.819], [0.089, 0.052, 0.681], [0.591, 0.629, 0.681], [0.041, 0.541, 0.500], [0.459, 0.959, 0.500], [0.371, 0.409, 0.319], [0.948, 0.911, 0.319], [0.879, 0.341, 0.181], [0.302, 0.839, 0.181], [0.209, 0.209, 0.000], [0.791, 0.791, 0.000]],
  "de_polymorph_mev_per_atom": 0,
  "m_tot_mub_per_cell": 0.0,
  "formation_energy_uncorrected_ev_per_atom": -1.431,
  "vol_a3_per_cell": 382.1,
  "spacegroup": "No. 70"
}